[1]
Here is TaCd2Te after structural relaxation from Alexandria. Energies are from PBE.

Unit cell a=4.170 b=4.464 c=10.280 alpha=90.00 beta=90.00 gamma=90.00
Space group Cmmm (No. 65)
One atom of each set of equivalent atoms:
Ta 0.000 0.000 0.000 (multiplicity 2)
Cd 0.000 0.500 0.205 (multiplicity 4)
Te 0.000 0.000 0.500 (multiplicity 2)

Properties
D(E_F)   0.72 states/eV/atom
Calculated volume   23.92 Å³/atom
E_form (uncorrected)   0.3300 eV per atom

***

[2]
Here is K2ZrBiO6 after structural relaxation from Alexandria. Energies are from PBE.

Unit cell a=8.471 b=8.471 c=8.471 alpha=90.00 beta=90.00 gamma=90.00
Space group Fm-3m (No. 225)
One atom of each set of equivalent atoms:
K 0.250 0.250 0.250 (multiplicity 8)
Zr 0.000 0.000 0.000 (multiplicity 4)
Bi 0.000 0.000 0.500 (multiplicity 4)
O 0.000 0.000 0.249 (multiplicity 24)

Properties
D(E_F)   0.57 states/eV/atom
Calculated volume   15.19 Å³/atom
E_form (uncorrected)   -1.7565 eV per atom

***

[3]
Here is Tm2MgSn after structural relaxation from Alexandria. Energies are from PBE.

Unit cell a=3.843 b=3.843 c=6.966 alpha=90.00 beta=90.00 gamma=90.00
Space group P4/mmm (No. 123)
One atom of each set of equivalent atoms:
Tm 0.000 0.000 0.249 (multiplicity 2)
Mg 0.500 0.500 0.500 (multiplicity 1)
Sn 0.500 0.500 0.000 (multiplicity 1)

Properties
D(E_F)   0.50 states/eV/atom
Calculated volume   25.72 Å³/atom
Formation energy   -1.432 eV per formula unit

***

[4]
Here is TlCrSbC2 after structural relaxation from Alexandria. Energies are from PBE.

Unit cell a=4.266 b=4.266 c=6.033 alpha=90.00 beta=90.00 gamma=90.00
Space group P4/mmm (No. 123)
One atom of each set of equivalent atoms:
Tl 0.000 0.000 0.000 (multiplicity 1)
Cr 0.500 0.500 0.500 (multiplicity 1)
Sb 0.000 0.000 0.500 (multiplicity 1)
C 0.000 0.500 0.000 (multiplicity 2)

Properties
D(E_F)   1.31 states/eV/atom
Calculated volume   21.96 Å³/atom
E_form (uncorrected)   3.0909 eV per atom

***

[5]
Here is TaPCl2 after structural relaxation from Alexandria. Energies are from PBE.

Unit cell a=9.197 b=3.221 c=7.406 alpha=90.00 beta=109.58 gamma=90.00
Space group Cm (No. 8)
One atom of each set of equivalent atoms:
Ta 0.000 0.000 0.000 (multiplicity 2)
P 0.199 0.500 0.000 (multiplicity 2)
Cl 0.006 0.500 0.265 (multiplicity 2)
Cl 0.363 0.000 0.735 (multiplicity 2)

Properties
D(E_F)   0.94 states/eV/atom
Offset from the most stable computed form   0 meV per atom
Calculated volume   25.84 Å³/atom
E_form (uncorrected)   -0.6482 eV per atom

***

[6]
Here is Ba2Ga4Ag3Sn after structural relaxation from Alexandria. Energies are from PBE.

Unit cell a=4.621 b=4.621 c=11.557 alpha=90.00 beta=90.00 gamma=90.00
Space group P-4m2 (No. 115)
One atom of each set of equivalent atoms:
Ba 0.000 0.500 0.243 (multiplicity 2)
Ga 0.000 0.000 0.000 (multiplicity 1)
Ga 0.000 0.500 0.643 (multiplicity 2)
Ga 0.500 0.500 0.000 (multiplicity 1)
Ag 0.000 0.500 0.876 (multiplicity 2)
Ag 0.500 0.500 0.500 (multiplicity 1)
Sn 0.000 0.000 0.500 (multiplicity 1)

Properties
D(E_F)   0.58 states/eV/atom
Calculated volume   24.68 Å³/atom
Formation energy   -3.332 eV per formula unit

***

| no. | magnetization (μB/atom) | uncorrected energy (eV per atom) |
| --- | --- | --- |
| 1 | 0.00 | -3.876 |
| 2 | 0.09 | -6.194 |
| 3 | 0.00 | -3.993 |
| 4 | 0.24 | -3.821 |
| 5 | 0.00 | -5.887 |
| 6 | 0.00 | -3.184 |